A plane-wave DFT calculation with PBE+U was carried out for an optimized crystal structure of Pr2MnSbO6.

Unit cell a=5.450 b=5.450 c=5.228 alpha=90.00 beta=90.00 gamma=90.00
Space group P4mm (No. 99)
Inequivalent atoms, fractional coordinates:
Pr 0.000 0.500 0.000 x2
Mn 0.000 0.000 0.592 x1
Sb 0.500 0.500 0.601 x1
O 0.000 0.000 0.191 x1
O 0.237 0.237 0.714 x4
O 0.500 0.500 0.018 x1

Results
volume	15.529	Å³/atom
final energy	-72.68	eV/cell